A relaxed structure of Y4BiC, computed with GGA-PBE.

Cell lengths 7.2212, 7.2212, 6.4706 Å; angles 98.26, 98.26, 108.29 degrees
Sites, in units of the cell vectors:
Y: 0.0381 0.7681 0.9526
Y: 0.1911 0.4082 0.6066
Y: 0.2319 0.9619 0.5474
Y: 0.4082 0.1911 0.1066
Y: 0.5918 0.8089 0.8934
Y: 0.7681 0.0381 0.4526
Y: 0.8089 0.5918 0.3934
Y: 0.9619 0.2319 0.0474
Bi: 0.3671 0.6329 0.2500
Bi: 0.6329 0.3671 0.7500
C: 0.0097 0.9903 0.2500
C: 0.9903 0.0097 0.7500

energy relative to the lowest polymorph listed for this composition = 0 meV/atom
VASP energy = -6.743 eV/atom
ΔH_f (0 K) = -0.25 eV per atom